# 1
MnTc2H (GGA-PBE, optimized geometry); DFT total energy = -31.25 eV/cell; ΔE to the lowest computed polymorph = 5.088 kcal/mol of atoms; total magnetic moment = 0.00 μB per formula unit
1.0
-0.2466 0.8545 2.5940
-2.0381 -0.9508 1.5689
3.2808 -5.2352 3.4858
H Mn Tc
1 1 2
Direct
0.5000 0.5000 0.5000
0.0000 0.0000 0.0000
0.1094 0.1094 0.6717
0.8906 0.8906 0.3283

# 2
MnTc2H (GGA-PBE, optimized geometry); DFT total energy = -31.96 eV/cell; ΔE to the lowest computed polymorph = 1.028 kcal/mol of atoms; total magnetic moment = 0.00 μB per formula unit
1.0
-0.7521 -1.5463 2.1069
2.6105 -0.3411 0.6815
-0.2666 4.7831 3.4153
H Mn Tc
1 1 2
Direct
0.5000 0.5000 0.0000
0.5000 0.5000 0.5000
0.0000 0.0000 0.7869
0.0000 0.0000 0.2131

# 3
Mn2TcH2 (GGA-PBE, optimized geometry); DFT total energy = -35.21 eV/cell; ΔE to the lowest computed polymorph = 0.000 kcal/mol of atoms; total magnetic moment = 2.91 μB per formula unit
1.0
2.7173 0.0000 0.0000
0.0000 2.7173 0.0000
1.3587 1.3587 5.8071
H Mn Tc
2 2 1
Direct
0.7500 0.2500 0.5000
0.2500 0.7500 0.5000
0.3471 0.3471 0.3057
0.6529 0.6529 0.6943
0.0000 0.0000 0.0000

Table of volume (Å³/cell), in record order: 45.0 43.5 42.9
Table of mass density (kg/m³), in record order: 9291 9615 8128